1.
{
  "formula": "CrGa3Ni7",
  "functional": "PBE",
  "state": "relaxed",
  "cell": [[3.977, -4.255, 0.000], [3.977, 4.255, 0.000], [-1.956, 0.000, 4.231]],
  "species": ["Cr", "Ga", "Ga", "Ga", "Ni", "Ni", "Ni", "Ni", "Ni", "Ni", "Ni"],
  "fractional_positions": [[0.000, 0.000, 0.000], [0.276, 0.724, 0.500], [0.500, 0.500, 0.000], [0.724, 0.276, 0.500], [0.000, 0.000, 0.500], [0.087, 0.565, 0.820], [0.298, 0.298, 0.441], [0.435, 0.913, 0.180], [0.565, 0.087, 0.820], [0.702, 0.702, 0.559], [0.913, 0.435, 0.180]],
  "n_ef_per_ev_cell": 10.4,
  "formation_energy_mev_per_atom": 45
}


2.
{
  "formula": "CrGaNi2",
  "functional": "PBE",
  "state": "relaxed",
  "cell": [[-1.769, 1.769, 8.308], [1.769, -1.769, 8.308], [1.769, 1.769, -8.308]],
  "species": ["Cr", "Cr", "Ga", "Ga", "Ni", "Ni", "Ni", "Ni"],
  "fractional_positions": [[0.000, 0.000, 0.000], [0.750, 0.250, 0.500], [0.250, 0.750, 0.500], [0.500, 0.500, 0.000], [0.123, 0.625, 0.998], [0.375, 0.373, 0.498], [0.627, 0.125, 0.002], [0.875, 0.877, 0.502]],
  "n_ef_per_ev_cell": 6.9,
  "formation_energy_mev_per_atom": 318
}


3.
{
  "formula": "CrGaNi14",
  "functional": "PBE",
  "state": "relaxed",
  "cell": [[5.014, 0.000, 0.000], [0.000, 5.014, 0.000], [0.000, 0.000, 7.044]],
  "species": ["Cr", "Ga", "Ni", "Ni", "Ni", "Ni", "Ni", "Ni", "Ni", "Ni", "Ni", "Ni", "Ni", "Ni", "Ni", "Ni"],
  "fractional_positions": [[0.000, 0.000, 0.000], [0.500, 0.500, 0.000], [0.000, 0.000, 0.500], [0.000, 0.500, 0.000], [0.000, 0.500, 0.500], [0.248, 0.248, 0.252], [0.248, 0.248, 0.748], [0.248, 0.752, 0.252], [0.248, 0.752, 0.748], [0.500, 0.000, 0.000], [0.500, 0.000, 0.500], [0.500, 0.500, 0.500], [0.752, 0.248, 0.252], [0.752, 0.248, 0.748], [0.752, 0.752, 0.252], [0.752, 0.752, 0.748]],
  "n_ef_per_ev_cell": 24.8,
  "formation_energy_mev_per_atom": -61
}